No. 1
PmSmPuSn | PBE | optimized geometry

* calculated formation energy: -0.11 eV per atom
* raw total energy: -7.06 eV/atom

a = 7.748 Å, b = 7.748 Å, c = 7.748 Å
α = 90.00°, β = 90.00°, γ = 90.00°
Space group F-43m (No. 216)
Inequivalent atoms, fractional coordinates:
Pm 0.000 0.000 0.000 [4 per cell]
Sm 0.250 0.250 0.250 [4 per cell]
Pu 0.250 0.250 0.750 [4 per cell]
Sn 0.000 0.000 0.500 [4 per cell]

---

No. 2
Tb3Pm2Sm6Pu | PBE | optimized geometry

* calculated formation energy: 0.05 eV per atom
* raw total energy: -5.45 eV/atom

a = 6.238 Å, b = 10.818 Å, c = 11.894 Å
α = 90.00°, β = 100.17°, γ = 90.00°
Space group C2/m (No. 12)
Inequivalent atoms, fractional coordinates:
Tb 0.000 0.000 0.000 [2 per cell]
Tb 0.000 0.333 0.000 [4 per cell]
Pm 0.000 0.167 0.500 [4 per cell]
Sm 0.246 0.500 0.250 [4 per cell]
Sm 0.248 0.335 0.750 [8 per cell]
Pu 0.000 0.500 0.500 [2 per cell]

---

No. 3
Tb6Pm3Sm2Pu | PBE | optimized geometry

* calculated formation energy: 0.04 eV per atom
* raw total energy: -5.44 eV/atom

a = 6.209 Å, b = 10.766 Å, c = 11.807 Å
α = 90.00°, β = 100.15°, γ = 90.00°
Space group C2/m (No. 12)
Inequivalent atoms, fractional coordinates:
Tb 0.246 0.164 0.247 [8 per cell]
Tb 0.247 0.000 0.753 [4 per cell]
Pm 0.000 0.167 0.500 [4 per cell]
Pm 0.000 0.500 0.500 [2 per cell]
Sm 0.000 0.333 0.000 [4 per cell]
Pu 0.000 0.000 0.000 [2 per cell]

---

No. 4
Pm3Sm2PuTe6 | PBE | optimized geometry

* uncorrected formation energy: -1.36 eV/atom
* raw total energy: -6.10 eV/atom

a = 19.417 Å, b = 4.432 Å, c = 8.943 Å
α = 90.00°, β = 103.39°, γ = 90.00°
Space group C2/m (No. 12)
Inequivalent atoms, fractional coordinates:
Pm 0.000 0.000 0.000 [2 per cell]
Pm 0.168 0.500 0.335 [4 per cell]
Sm 0.165 0.500 0.830 [4 per cell]
Pu 0.000 0.000 0.500 [2 per cell]
Te 0.001 0.500 0.253 [4 per cell]
Te 0.165 0.000 0.583 [4 per cell]
Te 0.168 0.000 0.082 [4 per cell]

---

No. 5
Pm2SmPuTe5 | PBE | optimized geometry

* uncorrected formation energy: -0.65 eV/atom
* raw total energy: -5.57 eV/atom

a = 5.614 Å, b = 5.614 Å, c = 11.869 Å
α = 90.00°, β = 90.00°, γ = 90.00°
Space group P4/mmm (No. 123)
Inequivalent atoms, fractional coordinates:
Pm 0.000 0.000 0.159 [2 per cell]
Sm 0.500 0.500 0.000 [1 per cell]
Pu 0.500 0.500 0.500 [1 per cell]
Te 0.000 0.000 0.500 [1 per cell]
Te 0.000 0.500 0.000 [2 per cell]
Te 0.500 0.500 0.250 [2 per cell]

---

No. 6
PmSm2Pu3Te6 | PBE | optimized geometry

* uncorrected formation energy: -1.26 eV/atom
* raw total energy: -7.60 eV/atom

a = 19.407 Å, b = 4.425 Å, c = 8.909 Å
α = 90.00°, β = 103.92°, γ = 90.00°
Space group C2/m (No. 12)
Inequivalent atoms, fractional coordinates:
Pm 0.000 0.000 0.000 [2 per cell]
Sm 0.167 0.500 0.333 [4 per cell]
Pu 0.000 0.000 0.500 [2 per cell]
Pu 0.166 0.500 0.833 [4 per cell]
Te 0.000 0.500 0.252 [4 per cell]
Te 0.166 0.000 0.584 [4 per cell]
Te 0.168 0.000 0.083 [4 per cell]

---

No. 7
Pm2Sm3Tm6Pu | PBE | optimized geometry

* calculated formation energy: 0.04 eV per atom
* raw total energy: -5.36 eV/atom

a = 6.144 Å, b = 10.645 Å, c = 11.622 Å
α = 90.00°, β = 100.17°, γ = 90.00°
Space group C2/m (No. 12)
Inequivalent atoms, fractional coordinates:
Pm 0.000 0.167 0.000 [4 per cell]
Sm 0.000 0.000 0.500 [2 per cell]
Sm 0.000 0.333 0.500 [4 per cell]
Tm 0.246 0.500 0.752 [4 per cell]
Tm 0.247 0.336 0.248 [8 per cell]
Pu 0.000 0.500 0.000 [2 per cell]

---

No. 8
PmSmTmPu | PBE | optimized geometry

* calculated formation energy: 0.22 eV per atom
* raw total energy: -6.85 eV/atom

a = 7.975 Å, b = 7.975 Å, c = 7.975 Å
α = 90.00°, β = 90.00°, γ = 90.00°
Space group F-43m (No. 216)
Inequivalent atoms, fractional coordinates:
Pm 0.000 0.000 0.000 [4 per cell]
Sm 0.250 0.250 0.250 [4 per cell]
Tm 0.250 0.250 0.750 [4 per cell]
Pu 0.000 0.000 0.500 [4 per cell]

---

No. 9
PmSmYPu | PBE | optimized geometry

* calculated formation energy: 0.21 eV per atom
* raw total energy: -7.35 eV/atom

a = 8.020 Å, b = 8.020 Å, c = 8.020 Å
α = 90.00°, β = 90.00°, γ = 90.00°
Space group F-43m (No. 216)
Inequivalent atoms, fractional coordinates:
Pm 0.000 0.000 0.000 [4 per cell]
Sm 0.000 0.000 0.500 [4 per cell]
Y 0.250 0.250 0.750 [4 per cell]
Pu 0.250 0.250 0.250 [4 per cell]

---

No. 10
Pm6Sm3Y2Pu | PBE | optimized geometry

* calculated formation energy: 0.05 eV per atom
* raw total energy: -5.78 eV/atom

a = 6.268 Å, b = 10.863 Å, c = 11.922 Å
α = 90.00°, β = 100.15°, γ = 90.00°
Space group C2/m (No. 12)
Inequivalent atoms, fractional coordinates:
Pm 0.247 0.000 0.254 [4 per cell]
Pm 0.247 0.164 0.746 [8 per cell]
Sm 0.000 0.167 0.000 [4 per cell]
Sm 0.000 0.500 0.000 [2 per cell]
Y 0.000 0.333 0.500 [4 per cell]
Pu 0.000 0.000 0.500 [2 per cell]

---

No. 11
Pm2Sm3Y6Pu | PBE | optimized geometry

* calculated formation energy: 0.04 eV per atom
* raw total energy: -6.35 eV/atom

a = 6.219 Å, b = 10.779 Å, c = 11.806 Å
α = 90.00°, β = 100.14°, γ = 90.00°
Space group C2/m (No. 12)
Inequivalent atoms, fractional coordinates:
Pm 0.000 0.167 0.000 [4 per cell]
Sm 0.000 0.000 0.500 [2 per cell]
Sm 0.000 0.333 0.500 [4 per cell]
Y 0.247 0.335 0.248 [8 per cell]
Y 0.247 0.500 0.752 [4 per cell]
Pu 0.000 0.500 0.000 [2 per cell]

---

No. 12
PmPu2Sn2 | PBE | optimized geometry

* calculated formation energy: -0.14 eV per atom
* raw total energy: -8.42 eV/atom

a = 4.3972 Å, b = 4.3972 Å, c = 15.6005 Å
α = 90.00°, β = 90.00°, γ = 120.00°
Space group P6_3/mmc (No. 194)
Inequivalent atoms, fractional coordinates:
Pm 0.3333 0.6667 0.2500 [2 per cell]
Pu 0.3333 0.6667 0.5071 [4 per cell]
Sn 0.0000 0.0000 0.1243 [4 per cell]

---

No. 13
PmPu2Sn9 | PBE | optimized geometry

* calculated formation energy: -0.40 eV per atom
* raw total energy: -6.19 eV/atom

a = 4.700 Å, b = 4.700 Å, c = 14.070 Å
α = 90.00°, β = 90.00°, γ = 90.00°
Space group P4/mmm (No. 123)
Inequivalent atoms, fractional coordinates:
Pm 0.000 0.000 0.000 [1 per cell]
Pu 0.000 0.000 0.335 [2 per cell]
Sn 0.000 0.500 0.171 [4 per cell]
Sn 0.000 0.500 0.500 [2 per cell]
Sn 0.500 0.500 0.000 [1 per cell]
Sn 0.500 0.500 0.335 [2 per cell]

---

No. 14
PmPuSn4 | PBE | optimized geometry

* calculated formation energy: -0.27 eV per atom
* energy above the most stable polymorph in this dataset: 50.2 meV per atom
* raw total energy: -6.12 eV/atom

a = 8.695 Å, b = 8.695 Å, c = 8.695 Å
α = 90.00°, β = 90.00°, γ = 90.00°
Space group F-43m (No. 216)
Inequivalent atoms, fractional coordinates:
Pm 0.000 0.000 0.000 [4 per cell]
Pu 0.250 0.250 0.750 [4 per cell]
Sn 0.125 0.125 0.375 [16 per cell]

---

No. 15
Pm6PuSn6 | PBE | optimized geometry

* calculated formation energy: -0.36 eV per atom
* raw total energy: -5.51 eV/atom

a = 7.3355 Å, b = 7.3355 Å, c = 9.2769 Å
α = 90.00°, β = 90.00°, γ = 120.00°
Space group P6/mmm (No. 191)
Inequivalent atoms, fractional coordinates:
Pm 0.0000 0.5000 0.2472 [6 per cell]
Pu 0.0000 0.0000 0.5000 [1 per cell]
Sn 0.0000 0.0000 0.1597 [2 per cell]
Sn 0.3333 0.6667 0.0000 [2 per cell]
Sn 0.3333 0.6667 0.5000 [2 per cell]

---

No. 16
Pm3Pu2Sn7 | PBE | optimized geometry

* calculated formation energy: -0.26 eV per atom
* raw total energy: -6.17 eV/atom

a = 5.487 Å, b = 23.072 Å, c = 5.774 Å
α = 90.00°, β = 90.00°, γ = 90.00°
Space group Cmmm (No. 65)
Inequivalent atoms, fractional coordinates:
Pm 0.000 0.000 0.000 [2 per cell]
Pm 0.000 0.159 0.000 [4 per cell]
Pu 0.000 0.361 0.500 [4 per cell]
Sn 0.000 0.071 0.500 [4 per cell]
Sn 0.000 0.221 0.500 [4 per cell]
Sn 0.000 0.419 0.000 [4 per cell]
Sn 0.000 0.500 0.500 [2 per cell]

---

No. 17
Pm3Pu4Sn4 | PBE | optimized geometry

* calculated formation energy: -0.29 eV per atom
* raw total energy: -8.25 eV/atom

a = 4.145 Å, b = 8.881 Å, c = 18.201 Å
α = 90.00°, β = 90.00°, γ = 90.00°
Space group Immm (No. 71)
Inequivalent atoms, fractional coordinates:
Pm 0.000 0.000 0.000 [2 per cell]
Pm 0.000 0.500 0.098 [4 per cell]
Pu 0.000 0.329 0.331 [8 per cell]
Sn 0.000 0.000 0.271 [4 per cell]
Sn 0.000 0.219 0.500 [4 per cell]

---

No. 18
PmPuSn2 | PBE | optimized geometry

* calculated formation energy: -0.48 eV per atom
* raw total energy: -7.25 eV/atom

a = 4.091 Å, b = 4.091 Å, c = 6.570 Å
α = 90.00°, β = 90.00°, γ = 90.00°
Space group P4/mmm (No. 123)
Inequivalent atoms, fractional coordinates:
Pm 0.000 0.000 0.000 [1 per cell]
Pu 0.000 0.000 0.500 [1 per cell]
Sn 0.500 0.500 0.251 [2 per cell]

---

No. 19
PmPuSn2 | PBE | optimized geometry

* calculated formation energy: -0.31 eV per atom
* raw total energy: -7.08 eV/atom

a = 3.5985 Å, b = 3.5985 Å, c = 30.8070 Å
α = 90.00°, β = 90.00°, γ = 120.00°
Space group R-3m (No. 166, hexagonal axes)
Inequivalent atoms, fractional coordinates:
Pm 0.0000 0.0000 0.0000 [3 per cell]
Pu 0.0000 0.0000 0.5000 [3 per cell]
Sn 0.0000 0.0000 0.2496 [6 per cell]

---

No. 20
Pm5PuSn6 | PBE | optimized geometry

* calculated formation energy: -0.57 eV per atom
* raw total energy: -5.74 eV/atom

a = 8.486 Å, b = 15.951 Å, c = 6.176 Å
α = 90.00°, β = 121.95°, γ = 90.00°
Space group C2/m (No. 12)
Inequivalent atoms, fractional coordinates:
Pm 0.000 0.000 0.000 [2 per cell]
Pm 0.000 0.147 0.500 [4 per cell]
Pm 0.000 0.318 0.000 [4 per cell]
Pu 0.000 0.500 0.500 [2 per cell]
Sn 0.209 0.500 0.180 [4 per cell]
Sn 0.222 0.330 0.702 [8 per cell]

---

No. 21
Pm7PuSn4 | PBE | optimized geometry

* calculated formation energy: -0.27 eV per atom
* raw total energy: -5.57 eV/atom

a = 15.192 Å, b = 5.629 Å, c = 11.239 Å
α = 90.00°, β = 126.56°, γ = 90.00°
Space group C2/m (No. 12)
Inequivalent atoms, fractional coordinates:
Pm 0.000 0.000 0.000 [2 per cell]
Pm 0.077 0.500 0.330 [4 per cell]
Pm 0.152 0.000 0.578 [4 per cell]
Pm 0.209 0.500 0.872 [4 per cell]
Pu 0.000 0.500 0.000 [2 per cell]
Sn 0.074 0.000 0.779 [4 per cell]
Sn 0.210 0.000 0.333 [4 per cell]

---

No. 22
PmPuSn4 | PBE | optimized geometry

* calculated formation energy: -0.32 eV per atom
* energy above the most stable polymorph in this dataset: 0.0 meV per atom
* raw total energy: -6.17 eV/atom

a = 6.836 Å, b = 8.605 Å, c = 5.591 Å
α = 90.00°, β = 90.10°, γ = 90.00°
Space group P2_1/c (No. 14)
Inequivalent atoms, fractional coordinates:
Pm 0.000 0.000 0.000 [2 per cell]
Pu 0.500 0.000 0.000 [2 per cell]
Sn 0.251 0.169 0.536 [4 per cell]
Sn 0.253 0.669 0.964 [4 per cell]

---

No. 23
PmPuSn2 | PBE | optimized geometry

* calculated formation energy: -0.50 eV per atom
* raw total energy: -7.27 eV/atom

a = 4.918 Å, b = 4.918 Å, c = 4.515 Å
α = 90.00°, β = 90.00°, γ = 90.00°
Space group P4/mmm (No. 123)
Inequivalent atoms, fractional coordinates:
Pm 0.000 0.000 0.000 [1 per cell]
Pu 0.500 0.500 0.000 [1 per cell]
Sn 0.000 0.500 0.500 [2 per cell]

---

Number 1: density of states at the Fermi level 3.121 states/eV/atom. Number 2: density of states at the Fermi level 2.124 states/eV/atom. Number 3: density of states at the Fermi level 2.015 states/eV/atom. Number 4: density of states at the Fermi level 1.114 states/eV/atom. Number 5: density of states at the Fermi level 2.328 states/eV/atom. Number 6: density of states at the Fermi level 2.763 states/eV/atom. Number 7: density of states at the Fermi level 1.865 states/eV/atom. Number 8: density of states at the Fermi level 3.023 states/eV/atom. Number 9: density of states at the Fermi level 3.123 states/eV/atom. Number 10: density of states at the Fermi level 1.988 states/eV/atom. Number 11: density of states at the Fermi level 1.972 states/eV/atom. Number 12: density of states at the Fermi level 1.772 states/eV/atom. Number 13: density of states at the Fermi level 1.738 states/eV/atom. Number 14: density of states at the Fermi level 1.264 states/eV/atom. Number 15: density of states at the Fermi level 1.393 states/eV/atom. Number 16: density of states at the Fermi level 1.877 states/eV/atom. Number 17: density of states at the Fermi level 3.012 states/eV/atom. Number 18: density of states at the Fermi level 2.566 states/eV/atom. Number 19: density of states at the Fermi level 2.407 states/eV/atom. Number 20: density of states at the Fermi level 1.484 states/eV/atom. Number 21: density of states at the Fermi level 1.428 states/eV/atom. Number 22: density of states at the Fermi level 1.583 states/eV/atom. Number 23: density of states at the Fermi level 2.713 states/eV/atom.